Entry from Alexandria via LeMat-Bulk: NbPbOF2 after structural relaxation (PBEsol).

```
NbPbOF2
1.0
4.420 0.000 0.000
0.000 4.528 0.000
0.000 0.000 4.528
Nb F O Pb
1 2 1 1
direct
0.500 0.500 0.500
0.000 0.000 0.500
0.000 0.500 0.000
0.500 0.000 0.000
0.000 0.000 0.000
```

Calculated values
Total moment   0.7222 μB/atom
ρ   6.490 g/cm³
Formation energy (no corrections)   -0.420 eV/atom



Entry from Alexandria via LeMat-Bulk: La2AgOs after structural relaxation (PBEsol).

```
La2AgOs
1.0
3.643 0.000 0.000
0.000 3.643 0.000
0.000 0.000 6.635
Ag Os La
1 1 2
direct
0.500 0.500 0.726
0.000 0.000 0.516
0.000 0.000 0.971
0.500 0.500 0.287
```

Calculated values
Total moment   0.0000 μB/atom
Formation enthalpy at 0 K   0.27 eV per atom
ρ   10.861 g/cm³



Entry from Alexandria via LeMat-Bulk: BeCuBr after structural relaxation (PBEsol).

```
BeCuBr
1.0
-1.295 -0.134 -2.397
1.263 -2.870 -0.521
-4.476 -0.941 4.023
Be Br Cu
1 1 1
direct
0.132 0.132 0.264
0.322 0.322 0.644
0.546 0.546 0.093
```

Calculated values
Total moment   0.0000 μB/atom
ΔE to the lowest computed polymorph   0 meV/atom
ρ   5.104 g/cm³
Formation energy (no corrections)   0.238 eV/atom